No. 1
{"formula": "CeZr2Nb3N6", "functional": "PBE", "state": "optimized geometry", "lattice_angstrom": [[3.248, 0.000, 0.000], [0.000, 6.500, 0.285], [-1.624, -1.817, 6.814]], "species": ["Nb", "Zr", "Nb", "Ce", "N", "Nb", "N", "Zr", "N", "N", "N", "N"], "fractional_positions": [[0.830, 0.167, 0.660], [0.830, 0.663, 0.660], [0.170, 0.833, 0.340], [0.500, 0.000, 0.000], [0.672, 0.084, 0.344], [0.500, 0.500, 0.000], [0.328, 0.916, 0.656], [0.170, 0.337, 0.340], [0.664, 0.584, 0.328], [0.001, 0.271, 0.001], [0.336, 0.416, 0.672], [0.999, 0.729, 0.999]], "magmom_total_mub_per_cell": 0.00, "density_g_cm3": 7.82, "total_energy_ev_per_fu": -118.622, "dos_ef_per_ev_atom": 0.4573, "raw_formation_energy_ev_per_atom": -1.2858}

No. 2
{"formula": "Ce2ZrNbN4", "functional": "PBE", "state": "optimized geometry", "lattice_angstrom": [[-2.272, -0.078, -2.442], [-3.953, -1.939, 3.740], [-0.143, 5.907, -0.055]], "species": ["N", "Zr", "N", "Ce", "N", "Ce", "Nb", "N"], "fractional_positions": [[0.500, 0.236, 0.220], [0.500, 0.500, 0.000], [0.000, 0.744, 0.221], [0.000, 0.500, 0.500], [0.500, 0.764, 0.780], [0.500, 0.000, 0.500], [0.000, 0.000, 0.000], [0.000, 0.256, 0.779]], "magmom_total_mub_per_cell": 0.00, "density_g_cm3": 8.02, "total_energy_ev_per_fu": -75.601, "dos_ef_per_ev_atom": 0.6579, "raw_formation_energy_ev_per_atom": -1.4768}

No. 3
{"formula": "Ce3Zr2NbN6", "functional": "PBE", "state": "optimized geometry", "lattice_angstrom": [[5.798, 0.000, 0.000], [-2.897, 5.022, 0.000], [-0.967, -1.675, 5.612]], "species": ["Nb", "Zr", "N", "Ce", "Ce", "Ce", "N", "N", "N", "Zr", "N", "N"], "fractional_positions": [[0.000, 0.000, 0.000], [0.333, 0.667, 0.000], [0.595, 0.926, 0.778], [0.167, 0.833, 0.500], [0.833, 0.167, 0.500], [0.500, 0.500, 0.500], [0.743, 0.743, 0.222], [0.405, 0.074, 0.222], [0.074, 0.405, 0.222], [0.667, 0.333, 0.000], [0.257, 0.257, 0.778], [0.926, 0.595, 0.778]], "magmom_total_mub_per_cell": 0.00, "density_g_cm3": 7.92, "total_energy_ev_per_fu": -113.382, "dos_ef_per_ev_atom": 0.5481, "raw_formation_energy_ev_per_atom": -1.5385}